The following is a DFT calculation (PBE) of a relaxed Sm5DyAl4 crystal.

Cell: 3.659 3.659 19.905 Å, 90.00 90.00 90.00°
Sites, in units of the cell vectors:
1 Sm 0.000 0.000 0.000
2 Sm 0.000 0.000 0.187
3 Sm 0.000 0.000 0.374
4 Sm 0.000 0.000 0.626
5 Sm 0.000 0.000 0.813
6 Dy 0.500 0.500 0.500
7 Al 0.500 0.500 0.093
8 Al 0.500 0.500 0.281
9 Al 0.500 0.500 0.719
10 Al 0.500 0.500 0.907

E_form = -0.2803 eV/atom
space group = P4/mmm


The following is a DFT calculation (PBE) of a relaxed ZnTe3 crystal.

Cell: 4.756 4.756 4.756 Å, 90.00 90.00 90.00°
Sites, in units of the cell vectors:
1 Zn 0.000 0.000 0.000
2 Te 0.000 0.500 0.500
3 Te 0.500 0.000 0.500
4 Te 0.500 0.500 0.000

formation energy without anion corrections = 37.3 kJ/mol of atoms
space group = Pm-3m


The following is a DFT calculation (PBE) of a relaxed Er7Bi2Pd2 crystal.

Cell: 9.533 9.533 9.533 Å, 156.34 67.40 117.92°
Sites, in units of the cell vectors:
1 Er 0.000 0.000 0.000
2 Er 0.297 0.423 0.874
3 Er 0.316 0.631 0.685
4 Er 0.550 0.423 0.126
5 Er 0.630 0.278 0.352
6 Er 0.926 0.278 0.648
7 Er 0.946 0.631 0.315
8 Bi 0.262 0.762 0.500
9 Bi 0.669 0.669 0.000
10 Pd 0.177 0.938 0.239
11 Pd 0.699 0.938 0.761

E_form = -0.6180 eV/atom
energy relative to the lowest polymorph listed for this composition = 0.0000 eV/atom
space group = Imm2


The following is a DFT calculation (PBE) of a relaxed Li5CdPd4 crystal.

Cell: 3.075 3.075 15.080 Å, 90.00 90.00 90.00°
Sites, in units of the cell vectors:
1 Li 0.000 0.000 0.000
2 Li 0.000 0.000 0.191
3 Li 0.000 0.000 0.378
4 Li 0.000 0.000 0.622
5 Li 0.000 0.000 0.809
6 Cd 0.500 0.500 0.500
7 Pd 0.500 0.500 0.096
8 Pd 0.500 0.500 0.289
9 Pd 0.500 0.500 0.711
10 Pd 0.500 0.500 0.904

E_form = -0.3917 eV/atom
energy relative to the lowest polymorph listed for this composition = 0.0140 eV/atom
space group = P4/mmm


The following is a DFT calculation (PBE) of a relaxed Na3MnIn3S8 crystal.

Cell: 7.522 7.522 8.066 Å, 117.85 117.85 59.96°
Sites, in units of the cell vectors:
1 Na 0.000 0.000 0.000
2 Na 0.000 0.500 0.000
3 Na 0.500 0.000 0.000
4 Mn 0.000 0.000 0.500
5 In 0.000 0.500 0.500
6 In 0.500 0.000 0.500
7 In 0.500 0.500 0.500
8 S 0.219 0.219 0.703
9 S 0.220 0.764 0.703
10 S 0.236 0.780 0.297
11 S 0.260 0.260 0.281
12 S 0.740 0.740 0.719
13 S 0.764 0.220 0.703
14 S 0.780 0.236 0.297
15 S 0.781 0.781 0.297

formation energy without anion corrections = -74.7 kJ/mol of atoms
space group = C2/m


The following is a DFT calculation (PBE) of a relaxed DyUFe2 crystal.

Cell: 3.383 3.383 22.408 Å, 90.00 90.00 120.00°
Sites, in units of the cell vectors:
1 Dy 0.000 0.000 0.000
2 Dy 0.333 0.667 0.667
3 Dy 0.667 0.333 0.333
4 U 0.000 0.000 0.500
5 U 0.333 0.667 0.167
6 U 0.667 0.333 0.833
7 Fe 0.000 0.000 0.237
8 Fe 0.000 0.000 0.763
9 Fe 0.333 0.667 0.430
10 Fe 0.333 0.667 0.904
11 Fe 0.667 0.333 0.096
12 Fe 0.667 0.333 0.570

E_form = 0.1648 eV/atom
energy relative to the lowest polymorph listed for this composition = 0.3208 eV/atom
space group = R-3m


The following is a DFT calculation (PBE) of a relaxed CaTl2Mo crystal.

Cell: 6.335 8.965 3.177 Å, 90.00 90.29 90.00°
Sites, in units of the cell vectors:
1 Ca 0.000 0.000 0.000
2 Ca 0.500 0.500 0.000
3 Tl 0.250 0.250 0.500
4 Tl 0.250 0.750 0.500
5 Tl 0.750 0.250 0.500
6 Tl 0.750 0.750 0.500
7 Mo 0.000 0.500 0.000
8 Mo 0.500 0.000 0.000

E_form = 0.4811 eV/atom
energy relative to the lowest polymorph listed for this composition = 0.1407 eV/atom
space group = C2/m


The following is a DFT calculation (PBE) of a relaxed Ho4MgCuRu2 crystal.

Cell: 8.545 8.545 8.545 Å, 33.34 33.34 33.34°
Sites, in units of the cell vectors:
1 Ho 0.120 0.120 0.120
2 Ho 0.371 0.371 0.371
3 Ho 0.629 0.629 0.629
4 Ho 0.880 0.880 0.880
5 Mg 0.500 0.500 0.500
6 Cu 0.000 0.000 0.000
7 Ru 0.248 0.248 0.248
8 Ru 0.752 0.752 0.752

E_form = -0.2938 eV/atom
space group = R-3m